Entry 1:
Density functional theory data (PBE-GGA) for a relaxed ErMgSc2Au4 crystal.

Cell: 4.8270 4.8270 23.8960 Å, 90.00 90.00 120.00°
Space group R-3m (No. 166, hexagonal axes)
Unique sites:
Er 0.0000 0.0000 0.0000 [3 per cell]
Mg 0.0000 0.0000 0.5000 [3 per cell]
Sc 0.0000 0.0000 0.2457 [6 per cell]
Au 0.0000 0.0000 0.1244 [6 per cell]
Au 0.0000 0.0000 0.3790 [6 per cell]

Calculated values
Raw total energy (eV for the cell shown): -114.52
N(E_F) (states/eV per atom): 0.511
Crystal system: trigonal

Entry 2:
Density functional theory data (PBE-GGA) for a relaxed ErMgSiAu crystal.

Cell: 6.8510 6.8510 6.8510 Å, 90.00 90.00 90.00°
Space group F-43m (No. 216)
Unique sites:
Er 0.0000 0.0000 0.0000 [4 per cell]
Mg 0.0000 0.0000 0.5000 [4 per cell]
Si 0.2500 0.2500 0.7500 [4 per cell]
Au 0.2500 0.2500 0.2500 [4 per cell]

Calculated values
Energy relative to the elements, uncorrected (eV/atom): -0.54
N(E_F) (states/eV per atom): 0.371
Crystal system: cubic

Entry 3:
Density functional theory data (PBE-GGA) for a relaxed ErMg2SnAu4 crystal.

Cell: 4.6602 4.6602 26.3878 Å, 90.00 90.00 120.00°
Space group R-3m (No. 166, hexagonal axes)
Unique sites:
Er 0.0000 0.0000 0.0000 [3 per cell]
Mg 0.0000 0.0000 0.2490 [6 per cell]
Sn 0.0000 0.0000 0.5000 [3 per cell]
Au 0.0000 0.0000 0.1156 [6 per cell]
Au 0.0000 0.0000 0.3823 [6 per cell]

Calculated values
Raw total energy (eV for the cell shown): -88.10
N(E_F) (states/eV per atom): 0.374
Crystal system: trigonal

Entry 4:
Density functional theory data (PBE-GGA) for a relaxed SrEr2MgAu4 crystal.

Cell: 4.9691 4.9691 26.4849 Å, 90.00 90.00 120.00°
Space group R-3m (No. 166, hexagonal axes)
Unique sites:
Sr 0.0000 0.0000 0.0000 [3 per cell]
Er 0.0000 0.0000 0.2373 [6 per cell]
Mg 0.0000 0.0000 0.5000 [3 per cell]
Au 0.0000 0.0000 0.1255 [6 per cell]
Au 0.0000 0.0000 0.3959 [6 per cell]

Calculated values
Raw total energy (eV for the cell shown): -94.44
N(E_F) (states/eV per atom): 0.605
Crystal system: trigonal

Entry 5:
Density functional theory data (PBE-GGA) for a relaxed TbErMg2Au4 crystal.

Cell: 4.9071 4.9071 23.9135 Å, 90.00 90.00 120.00°
Space group R-3m (No. 166, hexagonal axes)
Unique sites:
Tb 0.0000 0.0000 0.0000 [3 per cell]
Er 0.0000 0.0000 0.5000 [3 per cell]
Mg 0.0000 0.0000 0.2498 [6 per cell]
Au 0.0000 0.0000 0.1268 [6 per cell]
Au 0.0000 0.0000 0.3760 [6 per cell]

Calculated values
Raw total energy (eV for the cell shown): -95.27
N(E_F) (states/eV per atom): 0.690
Crystal system: trigonal

Entry 6:
Density functional theory data (PBE-GGA) for a relaxed TbErMgAu crystal.

Cell: 3.6928 3.6928 7.2622 Å, 90.00 90.00 90.00°
Space group P4mm (No. 99)
Unique sites:
Tb 0.0000 0.0000 0.0000 [1 per cell]
Er 0.0000 0.0000 0.4699 [1 per cell]
Mg 0.5000 0.5000 0.7310 [1 per cell]
Au 0.5000 0.5000 0.2446 [1 per cell]

Calculated values
Excess energy over the best structure of this formula in the dataset (meV/atom): 0.0
N(E_F) (states/eV per atom): 0.847
Crystal system: tetragonal

Entry 7:
Density functional theory data (PBE-GGA) for a relaxed TbErMgAu crystal.

Cell: 7.3288 7.3288 7.3288 Å, 90.00 90.00 90.00°
Space group F-43m (No. 216)
Unique sites:
Tb 0.0000 0.0000 0.0000 [4 per cell]
Er 0.0000 0.0000 0.5000 [4 per cell]
Mg 0.2500 0.2500 0.2500 [4 per cell]
Au 0.2500 0.2500 0.7500 [4 per cell]

Calculated values
Excess energy over the best structure of this formula in the dataset (meV/atom): 58.6
N(E_F) (states/eV per atom): 0.811
Crystal system: cubic

Entry 8:
Density functional theory data (PBE-GGA) for a relaxed ErMgTlAu crystal.

Cell: 7.1021 7.1021 7.1021 Å, 90.00 90.00 90.00°
Space group F-43m (No. 216)
Unique sites:
Er 0.0000 0.0000 0.0000 [4 per cell]
Mg 0.0000 0.0000 0.5000 [4 per cell]
Tl 0.2500 0.2500 0.2500 [4 per cell]
Au 0.2500 0.2500 0.7500 [4 per cell]

Calculated values
Raw total energy (eV for the cell shown): -55.08
N(E_F) (states/eV per atom): 0.747
Crystal system: cubic

Entry 9:
Density functional theory data (PBE-GGA) for a relaxed ErTmMgAu crystal.

Cell: 3.6671 3.6671 7.2019 Å, 90.00 90.00 90.00°
Space group P4mm (No. 99)
Unique sites:
Er 0.0000 0.0000 0.0000 [1 per cell]
Tm 0.0000 0.0000 0.4683 [1 per cell]
Mg 0.5000 0.5000 0.7325 [1 per cell]
Au 0.5000 0.5000 0.2375 [1 per cell]

Calculated values
Excess energy over the best structure of this formula in the dataset (meV/atom): 0.0
N(E_F) (states/eV per atom): 0.818
Crystal system: tetragonal

Entry 10:
Density functional theory data (PBE-GGA) for a relaxed ErTm2MgAu4 crystal.

Cell: 4.9545 4.9545 24.3448 Å, 90.00 90.00 120.00°
Space group R-3m (No. 166, hexagonal axes)
Unique sites:
Er 0.0000 0.0000 0.0000 [3 per cell]
Tm 0.0000 0.0000 0.2456 [6 per cell]
Mg 0.0000 0.0000 0.5000 [3 per cell]
Au 0.0000 0.0000 0.1231 [6 per cell]
Au 0.0000 0.0000 0.3730 [6 per cell]

Calculated values
Raw total energy (eV for the cell shown): -104.63
N(E_F) (states/eV per atom): 0.520
Crystal system: trigonal

Entry 11:
Density functional theory data (PBE-GGA) for a relaxed ErTmMgAu crystal.

Cell: 7.2653 7.2653 7.2653 Å, 90.00 90.00 90.00°
Space group F-43m (No. 216)
Unique sites:
Er 0.0000 0.0000 0.0000 [4 per cell]
Tm 0.0000 0.0000 0.5000 [4 per cell]
Mg 0.2500 0.2500 0.2500 [4 per cell]
Au 0.2500 0.2500 0.7500 [4 per cell]

Calculated values
Excess energy over the best structure of this formula in the dataset (meV/atom): 56.3
N(E_F) (states/eV per atom): 1.078
Crystal system: cubic

Entry 12:
Density functional theory data (PBE-GGA) for a relaxed Er2TmMgAu4 crystal.

Cell: 4.9604 4.9604 24.3955 Å, 90.00 90.00 120.00°
Space group R-3m (No. 166, hexagonal axes)
Unique sites:
Er 0.0000 0.0000 0.2456 [6 per cell]
Tm 0.0000 0.0000 0.0000 [3 per cell]
Mg 0.0000 0.0000 0.5000 [3 per cell]
Au 0.0000 0.0000 0.1227 [6 per cell]
Au 0.0000 0.0000 0.3716 [6 per cell]

Calculated values
Raw total energy (eV for the cell shown): -104.96
N(E_F) (states/eV per atom): 0.540
Crystal system: trigonal

Entry 13:
Density functional theory data (PBE-GGA) for a relaxed ErTmMg2Au4 crystal.

Cell: 4.8764 4.8764 23.7896 Å, 90.00 90.00 120.00°
Space group R-3m (No. 166, hexagonal axes)
Unique sites:
Er 0.0000 0.0000 0.0000 [3 per cell]
Tm 0.0000 0.0000 0.5000 [3 per cell]
Mg 0.0000 0.0000 0.2499 [6 per cell]
Au 0.0000 0.0000 0.1258 [6 per cell]
Au 0.0000 0.0000 0.3751 [6 per cell]

Calculated values
Raw total energy (eV for the cell shown): -94.97
N(E_F) (states/eV per atom): 0.614
Crystal system: trigonal

Entry 14:
Density functional theory data (PBE-GGA) for a relaxed YEr2MgAu4 crystal.

Cell: 4.9775 4.9775 24.5166 Å, 90.00 90.00 120.00°
Space group R-3m (No. 166, hexagonal axes)
Unique sites:
Y 0.0000 0.0000 0.0000 [3 per cell]
Er 0.0000 0.0000 0.2452 [6 per cell]
Mg 0.0000 0.0000 0.5000 [3 per cell]
Au 0.0000 0.0000 0.1233 [6 per cell]
Au 0.0000 0.0000 0.3748 [6 per cell]

Calculated values
Raw total energy (eV for the cell shown): -110.55
N(E_F) (states/eV per atom): 0.596
Crystal system: trigonal

Entry 15:
Density functional theory data (PBE-GGA) for a relaxed Er2MgZnAu4 crystal.

Cell: 4.8597 4.8597 23.5347 Å, 90.00 90.00 120.00°
Space group R-3m (No. 166, hexagonal axes)
Unique sites:
Er 0.0000 0.0000 0.2466 [6 per cell]
Mg 0.0000 0.0000 0.0000 [3 per cell]
Zn 0.0000 0.0000 0.5000 [3 per cell]
Au 0.0000 0.0000 0.1218 [6 per cell]
Au 0.0000 0.0000 0.3739 [6 per cell]

Calculated values
Raw total energy (eV for the cell shown): -92.55
N(E_F) (states/eV per atom): 0.545
Crystal system: trigonal

Entry 16:
Density functional theory data (PBE-GGA) for a relaxed ErMgZn2Au4 crystal.

Cell: 4.6232 4.6232 23.8951 Å, 90.00 90.00 120.00°
Space group R-3m (No. 166, hexagonal axes)
Unique sites:
Er 0.0000 0.0000 0.0000 [3 per cell]
Mg 0.0000 0.0000 0.5000 [3 per cell]
Zn 0.0000 0.0000 0.2492 [6 per cell]
Au 0.0000 0.0000 0.1274 [6 per cell]
Au 0.0000 0.0000 0.3866 [6 per cell]

Calculated values
Raw total energy (eV for the cell shown): -78.14
N(E_F) (states/eV per atom): 0.308
Crystal system: trigonal

Entry 17:
Density functional theory data (PBE-GGA) for a relaxed ErMg2Zn2Au2 crystal.

Cell: 4.5428 4.5428 23.2226 Å, 90.00 90.00 120.00°
Space group R-3m (No. 166, hexagonal axes)
Unique sites:
Er 0.0000 0.0000 0.0000 [3 per cell]
Mg 0.0000 0.0000 0.1341 [6 per cell]
Zn 0.0000 0.0000 0.4049 [6 per cell]
Au 0.0000 0.0000 0.2559 [6 per cell]

Calculated values
Raw total energy (eV for the cell shown): -60.81
N(E_F) (states/eV per atom): 0.497
Crystal system: trigonal

Entry 18:
Density functional theory data (PBE-GGA) for a relaxed ErMg2ZnAu4 crystal.

Cell: 4.6545 4.6545 24.3927 Å, 90.00 90.00 120.00°
Space group R-3m (No. 166, hexagonal axes)
Unique sites:
Er 0.0000 0.0000 0.0000 [3 per cell]
Mg 0.0000 0.0000 0.2436 [6 per cell]
Zn 0.0000 0.0000 0.5000 [3 per cell]
Au 0.0000 0.0000 0.1259 [6 per cell]
Au 0.0000 0.0000 0.3888 [6 per cell]

Calculated values
Raw total energy (eV for the cell shown): -80.35
N(E_F) (states/eV per atom): 0.378
Crystal system: trigonal

Entry 19:
Density functional theory data (PBE-GGA) for a relaxed Er2MnAu crystal.

Cell: 3.5375 3.5375 7.0613 Å, 90.00 90.00 90.00°
Space group P4/mmm (No. 123)
Unique sites:
Er 0.0000 0.0000 0.2454 [2 per cell]
Mn 0.5000 0.5000 0.0000 [1 per cell]
Au 0.5000 0.5000 0.5000 [1 per cell]

Calculated values
Raw total energy (eV for the cell shown): -22.98
N(E_F) (states/eV per atom): 1.175
Crystal system: tetragonal

Entry 20:
Density functional theory data (PBE-GGA) for a relaxed ErMnPdAu crystal.

Cell: 6.7199 6.7199 6.7199 Å, 90.00 90.00 90.00°
Space group F-43m (No. 216)
Unique sites:
Er 0.0000 0.0000 0.0000 [4 per cell]
Mn 0.0000 0.0000 0.5000 [4 per cell]
Pd 0.2500 0.2500 0.7500 [4 per cell]
Au 0.2500 0.2500 0.2500 [4 per cell]

Calculated values
Raw total energy (eV for the cell shown): -96.88
N(E_F) (states/eV per atom): 0.506
Crystal system: cubic

Entry 21:
Density functional theory data (PBE-GGA) for a relaxed TbErMnAu crystal.

Cell: 7.1409 7.1409 7.1409 Å, 90.00 90.00 90.00°
Space group F-43m (No. 216)
Unique sites:
Tb 0.0000 0.0000 0.0000 [4 per cell]
Er 0.0000 0.0000 0.5000 [4 per cell]
Mn 0.2500 0.2500 0.7500 [4 per cell]
Au 0.2500 0.2500 0.2500 [4 per cell]

Calculated values
Raw total energy (eV for the cell shown): -90.73
N(E_F) (states/eV per atom): 1.349
Crystal system: cubic

Entry 22:
Density functional theory data (PBE-GGA) for a relaxed YErMnAu crystal.

Cell: 7.1385 7.1385 7.1385 Å, 90.00 90.00 90.00°
Space group F-43m (No. 216)
Unique sites:
Y 0.0000 0.0000 0.0000 [4 per cell]
Er 0.0000 0.0000 0.5000 [4 per cell]
Mn 0.2500 0.2500 0.7500 [4 per cell]
Au 0.2500 0.2500 0.2500 [4 per cell]

Calculated values
Raw total energy (eV for the cell shown): -98.10
N(E_F) (states/eV per atom): 1.369
Crystal system: cubic

Entry 23:
Density functional theory data (PBE-GGA) for a relaxed Er2AuN crystal.

Cell: 3.5008 3.5008 21.5866 Å, 90.00 90.00 120.00°
Space group R-3m (No. 166, hexagonal axes)
Unique sites:
Er 0.0000 0.0000 0.2292 [6 per cell]
Au 0.0000 0.0000 0.0000 [3 per cell]
N 0.0000 0.0000 0.5000 [3 per cell]

Calculated values
Energy relative to the elements, uncorrected (eV/atom): -1.13
N(E_F) (states/eV per atom): 0.912
Crystal system: trigonal